Entry 1:
Below is a geometry-optimized Y2MgCu structure, with properties calculated at the PBE-GGA level.

a b c (Å): 3.455 3.455 8.210
angles (deg): 90.00 90.00 90.00
Positions (direct):
Y (0.000, 0.000, 0.000)
Y (0.500, 0.500, 0.324)
Mg (0.500, 0.500, 0.714)
Cu (0.000, 0.000, 0.540)

Results
DFT total energy = -4.704 eV/atom

Entry 2:
Below is a geometry-optimized YMg3Cu structure, with properties calculated at the PBE-GGA level.

a b c (Å): 8.997 8.997 8.997
angles (deg): 155.76 155.76 34.54
Positions (direct):
Y (0.000, 0.000, 0.000)
Mg (0.180, 0.180, 0.000)
Mg (0.331, 0.831, 0.500)
Mg (0.831, 0.331, 0.500)
Cu (0.586, 0.586, 0.000)

Results
ΔE to the lowest computed polymorph = 380 meV/atom
DFT total energy = -2.822 eV/atom

Entry 3:
Below is a geometry-optimized Y2Mg9Cu structure, with properties calculated at the PBE-GGA level.

a b c (Å): 10.639 10.639 10.639
angles (deg): 32.06 32.06 32.06
Positions (direct):
Y (0.150, 0.150, 0.150)
Y (0.850, 0.850, 0.850)
Mg (0.082, 0.586, 0.586)
Mg (0.334, 0.334, 0.334)
Mg (0.414, 0.414, 0.918)
Mg (0.414, 0.918, 0.414)
Mg (0.500, 0.500, 0.500)
Mg (0.586, 0.082, 0.586)
Mg (0.586, 0.586, 0.082)
Mg (0.666, 0.666, 0.666)
Mg (0.918, 0.414, 0.414)
Cu (0.000, 0.000, 0.000)

Results
DFT total energy = -2.459 eV/atom

Entry 4:
Below is a geometry-optimized Y2MgCu2 structure, with properties calculated at the PBE-GGA level.

a b c (Å): 3.962 3.962 8.183
angles (deg): 90.00 90.00 109.61
Positions (direct):
Y (0.000, 0.000, 0.219)
Y (0.000, 0.000, 0.781)
Mg (0.500, 0.500, 0.500)
Cu (0.322, 0.678, 0.000)
Cu (0.678, 0.322, 0.000)

Results
ΔE to the lowest computed polymorph = 208 meV/atom
DFT total energy = -4.585 eV/atom

Entry 5:
Below is a geometry-optimized Y2MgCu structure, with properties calculated at the PBE-GGA level.

a b c (Å): 3.514 3.514 7.953
angles (deg): 90.00 90.00 90.00
Positions (direct):
Y (0.000, 0.000, 0.213)
Y (0.000, 0.000, 0.787)
Mg (0.500, 0.500, 0.500)
Cu (0.500, 0.500, 0.000)

Results
DFT total energy = -4.811 eV/atom

Entry 6:
Below is a geometry-optimized Y2MgCu2 structure, with properties calculated at the PBE-GGA level.

a b c (Å): 5.482 5.482 5.482
angles (deg): 120.50 120.50 89.14
Positions (direct):
Y (0.250, 0.750, 0.500)
Y (0.750, 0.250, 0.500)
Mg (0.000, 0.000, 0.000)
Cu (0.355, 0.355, 0.000)
Cu (0.645, 0.645, 0.000)

Results
ΔE to the lowest computed polymorph = 191 meV/atom
DFT total energy = -4.601 eV/atom

Question: DFT total energy of number 1 (Y2MgCu)?
Answer: -4.704 eV/atom

Copy entry 6 word for word.
Below is a geometry-optimized Y2MgCu2 structure, with properties calculated at the PBE-GGA level.

a b c (Å): 5.482 5.482 5.482
angles (deg): 120.50 120.50 89.14
Positions (direct):
Y (0.250, 0.750, 0.500)
Y (0.750, 0.250, 0.500)
Mg (0.000, 0.000, 0.000)
Cu (0.355, 0.355, 0.000)
Cu (0.645, 0.645, 0.000)

Results
ΔE to the lowest computed polymorph = 191 meV/atom
DFT total energy = -4.601 eV/atom

Question: Among the records above, which one has the lowest DFT total energy?
Answer: number 5

Question: Among the records above, which one has the lowest DFT total energy?
Answer: number 5